## Na3Tb3MoS8 (PBE-GGA)

Data for a relaxed Na3Tb3MoS8 crystal.

Calculated values
* total moment: 6.0 μB per cell
* formation energy from raw total energies: -1.5129 eV/atom

Cell lengths 7.7948, 7.7948, 20.3348 Å; angles 90.00, 90.00, 120.00 degrees
Space group R-3m (No. 166, hexagonal axes)
One atom of each set of equivalent atoms:
Na: 0.0000 0.5000 0.0000 x9
Tb: 0.0000 0.5000 0.5000 x9
Mo: 0.0000 0.0000 0.5000 x3
S: 0.0000 0.0000 0.2432 x6
S: 0.0273 0.5137 0.2376 x18

---

## Na2TlMoS4 (PBE-GGA)

Data for a relaxed Na2TlMoS4 crystal.

Calculated values
* total moment: 4.1 μB per cell
* formation energy from raw total energies: -0.7065 eV/atom

Cell lengths 10.1616, 10.4676, 8.1603 Å; angles 90.00, 90.00, 90.00 degrees
Space group Fmm2 (No. 42)
One atom of each set of equivalent atoms:
Na: 0.2500 0.2500 0.0000 x8
Tl: 0.0000 0.0000 0.2656 x4
Mo: 0.0000 0.0000 0.7696 x4
S: 0.0000 0.1758 0.6110 x8
S: 0.1778 0.0000 0.9333 x8

---

## NaTlMoS4 (PBE-GGA)

Data for a relaxed NaTlMoS4 crystal.

Calculated values
* total moment: 0.0 μB per cell
* formation energy from raw total energies: -0.6351 eV/atom

Cell lengths 6.8543, 6.8971, 8.6995 Å; angles 90.00, 107.54, 90.00 degrees
Space group P2_1/m (No. 11)
One atom of each set of equivalent atoms:
Na: 0.2312 0.2500 0.0463 x2
Tl: 0.2575 0.2500 0.5626 x2
Mo: 0.2192 0.7500 0.8175 x2
S: 0.0129 0.0044 0.7602 x4
S: 0.3937 0.7500 0.0728 x2
S: 0.4190 0.7500 0.6607 x2